# 1
Density functional theory data (PBE) for RbHF after structural relaxation.

```
6
Lattice="4.158 -0.750 0.414 -1.575 4.112 -0.647 0.149 -1.040 8.394" Properties=species:S:1:pos:R:3 pbc="T T T"
H 0.000 0.000 0.000
H 1.366 1.161 4.081
Rb -0.355 2.592 2.053
Rb 3.087 -0.270 6.108
F 2.063 3.320 0.791
F 0.669 -0.998 7.370
```

Values from the calculation:
Electronic total energy ... -3.64 eV per atom
E above lowest polymorph ... 0.000 eV per formula unit


# 2
Density functional theory data (PBE) for DyAl4Pt2 after structural relaxation.

```
28
Lattice="-2.844 -2.368 2.139 3.539 -5.458 -1.336 9.023 2.292 14.533" Properties=species:S:1:pos:R:3 pbc="T T T"
Al 6.494 -0.468 10.251
Al 3.224 -5.066 5.085
Al 7.865 -4.121 12.303
Al 1.852 -1.413 3.034
Al 7.869 -2.702 9.607
Al 1.849 -2.832 5.730
Al 5.827 -0.864 13.198
Al 3.890 -4.670 2.139
Al 4.663 -0.209 8.104
Al 5.054 -5.325 7.232
Al 8.890 -3.136 14.754
Al 0.828 -2.398 0.583
Al 4.912 -2.281 6.141
Al 4.806 -3.253 9.195
Al 1.995 -7.023 1.286
Al 7.722 1.489 14.050
Pt 6.821 -3.481 7.352
Pt 2.896 -2.053 7.985
Pt 7.446 -0.966 15.237
Pt 2.272 -4.568 0.100
Pt 9.799 -4.083 10.644
Pt -0.081 -1.451 4.692
Pt 5.981 -2.697 11.374
Pt 3.737 -2.837 3.963
Dy 7.125 -5.679 9.593
Dy 2.593 0.145 5.743
Dy 8.760 -1.262 12.385
Dy 0.958 -4.272 2.952
```

Values from the calculation:
Electronic total energy ... -5.50 eV per atom
ΔE_f ... -0.981 eV/atom


# 3
Density functional theory data (PBE) for CsEr4Tl5 after structural relaxation.

```
10
Lattice="3.823 0.000 0.000 0.000 3.823 0.000 0.000 0.000 20.503" Properties=species:S:1:pos:R:3 pbc="T T T"
Cs 0.000 0.000 0.000
Er 0.000 0.000 4.650
Er 0.000 0.000 8.383
Er 0.000 0.000 12.120
Er 0.000 0.000 15.853
Tl 1.911 1.911 2.924
Tl 1.911 1.911 6.539
Tl 1.911 1.911 10.252
Tl 1.911 1.911 13.965
Tl 1.911 1.911 17.579
```

Values from the calculation:
Electronic total energy ... -3.34 eV per atom
ΔE_f ... -0.250 eV/atom


# 4
Density functional theory data (PBE) for BaTlSeBr2 after structural relaxation.

```
5
Lattice="-3.793 1.297 -4.267 -4.316 -2.478 3.083 -1.042 4.776 2.378" Properties=species:S:1:pos:R:3 pbc="T T T"
Tl 0.000 0.000 0.000
Se -0.521 2.388 1.189
Ba -4.576 1.797 0.597
Br -2.158 -1.239 1.542
Br -1.896 0.648 -2.133
```

Values from the calculation:
Raw formation energy ... -1.057 eV per atom
Electronic total energy ... -3.28 eV per atom
E above lowest polymorph ... 0.000 eV per formula unit


# 5
Density functional theory data (PBE) for BaTlCd2H after structural relaxation.

```
5
Lattice="6.707 0.000 0.000 0.000 4.628 0.000 0.000 0.000 6.707" Properties=species:S:1:pos:R:3 pbc="T T T"
H 0.000 2.314 0.000
Tl 3.354 2.314 3.354
Ba 0.000 0.000 0.000
Cd 0.000 0.000 3.354
Cd 3.354 0.000 0.000
```

Values from the calculation:
Electronic total energy ... -1.56 eV per atom


# 6
Density functional theory data (PBE) for CsNaTbI5 after structural relaxation.

```
16
Lattice="-0.661 -3.904 -8.017 -2.061 -5.811 6.475 -9.490 6.994 0.003" Properties=species:S:1:pos:R:3 pbc="T T T"
Cs -3.960 -3.417 1.573
Cs -8.252 0.697 -3.112
Na -3.472 -2.753 -3.477
Na -8.740 0.032 1.938
Tb -4.745 3.497 0.002
Tb 0.000 0.000 0.000
I -4.346 -3.942 5.563
I -7.866 1.222 -7.101
I -1.963 -4.631 -5.363
I -10.248 1.910 3.824
I -4.644 -0.417 -5.067
I -7.567 -2.304 3.529
I -5.985 -3.582 -1.861
I -6.227 0.861 0.322
I -1.329 -2.429 -1.259
I -10.883 -0.292 -0.279
```

Values from the calculation:
Raw formation energy ... -1.389 eV per atom
Electronic total energy ... -3.21 eV per atom


# 7
Density functional theory data (PBE) for LiSiMo2 after structural relaxation.

```
4
Lattice="-2.445 0.590 3.907 -0.432 -1.102 4.493 2.572 3.661 1.729" Properties=species:S:1:pos:R:3 pbc="T T T"
Li -0.274 2.323 7.639
Mo 2.559 3.643 1.723
Mo -0.035 0.812 2.463
Si -0.137 1.604 5.098
```

Values from the calculation:
Raw formation energy ... 0.077 eV per atom
Electronic total energy ... -7.17 eV per atom


# 8
Density functional theory data (PBE) for Al2Cd2CuPt5 after structural relaxation.

```
20
Lattice="3.685 0.000 0.000 0.000 9.434 0.000 0.000 0.000 9.434" Properties=species:S:1:pos:R:3 pbc="T T T"
Al 0.000 1.226 5.943
Al 0.000 8.208 3.491
Al 0.000 5.943 8.208
Al 0.000 3.491 1.226
Cd 0.000 6.334 1.617
Cd 0.000 3.100 7.817
Cd 0.000 1.617 3.100
Cd 0.000 7.817 6.334
Cu 0.000 0.000 0.000
Cu 0.000 4.717 4.717
Pt 1.842 1.858 0.703
Pt 1.842 7.576 8.731
Pt 1.842 0.703 7.576
Pt 1.842 6.575 4.014
Pt 1.842 8.731 1.858
Pt 1.842 2.859 5.420
Pt 1.842 5.420 6.575
Pt 1.842 4.014 2.859
Pt 1.842 4.717 0.000
Pt 1.842 0.000 4.717
```

Values from the calculation:
Electronic total energy ... -4.85 eV per atom
ΔE_f ... -0.489 eV/atom


# 9
Density functional theory data (PBE) for ReHgTe2 after structural relaxation.

```
4
Lattice="-2.528 -1.473 12.125 -0.946 1.192 12.380 -3.991 1.245 11.751" Properties=species:S:1:pos:R:3 pbc="T T T"
Re 0.000 0.000 0.000
Te -6.933 0.895 33.677
Te -0.531 0.069 2.579
Hg -3.732 0.482 18.128
```

Values from the calculation:
Raw formation energy ... 0.693 eV per atom
Electronic total energy ... -4.07 eV per atom
E above lowest polymorph ... 1.880 eV per formula unit


# 10
Density functional theory data (PBE) for SrMg6V after structural relaxation.

```
8
Lattice="2.332 6.610 -1.341 -6.725 2.363 0.346 0.412 0.620 3.777" Properties=species:S:1:pos:R:3 pbc="T T T"
Sr -0.859 5.328 1.180
Mg -2.024 2.023 1.850
Mg -4.221 6.509 1.353
Mg 0.178 2.479 -0.427
Mg -2.307 7.556 -0.989
Mg -3.624 3.817 -0.231
Mg 1.495 6.218 -1.185
V -5.387 3.204 2.023
```

Values from the calculation:
Electronic total energy ... -2.38 eV per atom
ΔE_f ... 0.167 eV/atom


# 11
Density functional theory data (PBE) for Na2UPtSe4 after structural relaxation.

```
8
Lattice="6.708 0.000 0.000 3.354 5.135 0.000 3.354 0.000 5.135" Properties=species:S:1:pos:R:3 pbc="T T T"
Na 3.354 2.567 2.567
Na 6.708 2.567 2.567
U 0.000 0.000 0.000
Pt 3.354 0.000 0.000
Se 1.820 2.039 0.000
Se 8.243 0.000 3.096
Se 4.889 0.000 2.039
Se 5.174 3.096 0.000
```

Values from the calculation:
Raw formation energy ... -0.749 eV per atom
Electronic total energy ... -4.99 eV per atom


# 12
Density functional theory data (PBE) for Na2Ga2P after structural relaxation.

```
5
Lattice="3.954 0.000 0.000 0.000 3.954 0.000 1.977 1.977 6.923" Properties=species:S:1:pos:R:3 pbc="T T T"
P 0.000 0.000 0.000
Ga 1.977 1.977 1.203
Ga 3.954 3.954 5.720
Na 3.954 1.977 3.461
Na 1.977 3.954 3.461
```

Values from the calculation:
Electronic total energy ... -2.57 eV per atom
E above lowest polymorph ... 1.685 eV per formula unit
ΔE_f ... 0.253 eV/atom


# 13
Density functional theory data (PBE) for NaSr3Cl after structural relaxation.

```
5
Lattice="-1.877 -0.150 -5.798 3.644 -4.772 -1.056 -4.512 -3.791 1.559" Properties=species:S:1:pos:R:3 pbc="T T T"
Sr 1.822 -2.386 -0.528
Sr -2.256 -1.895 0.780
Sr -0.939 -0.075 -2.899
Na -1.373 -4.357 -2.648
Cl 0.000 0.000 0.000
```

Values from the calculation:
Raw formation energy ... -0.524 eV per atom
Electronic total energy ... -2.17 eV per atom
E above lowest polymorph ... 0.000 eV per formula unit


# 14
Density functional theory data (PBE) for KYCd2 after structural relaxation.

```
4
Lattice="-2.579 4.435 4.012 -1.213 2.042 6.065 4.288 3.697 1.458" Properties=species:S:1:pos:R:3 pbc="T T T"
Cd 0.054 0.247 0.252
Cd 0.381 7.361 8.330
K 0.559 5.154 5.638
Y -0.250 2.499 3.081
```

Values from the calculation:
Electronic total energy ... -2.35 eV per atom
E above lowest polymorph ... 0.465 eV per formula unit
ΔE_f ... -0.001 eV/atom


# 15
Density functional theory data (PBE) for Nd3PtAu3 after structural relaxation.

```
7
Lattice="-4.129 0.183 -1.907 1.635 0.569 -3.486 1.499 -10.279 1.199" Properties=species:S:1:pos:R:3 pbc="T T T"
Nd 0.979 -6.061 -2.703
Nd -1.971 -3.590 -1.510
Nd -0.999 -9.347 -4.167
Pt 0.219 -8.568 -1.296
Au 0.897 -2.838 -2.215
Au -1.890 -6.757 -1.989
Au -1.213 -0.949 -2.897
```

Values from the calculation:
Electronic total energy ... -5.16 eV per atom
ΔE_f ... -0.851 eV/atom


# 16
Density functional theory data (PBE) for PmNdP2Rh5 after structural relaxation.

```
9
Lattice="4.069 0.000 0.000 0.000 4.069 0.000 0.000 0.000 10.848" Properties=species:S:1:pos:R:3 pbc="T T T"
Pm 0.000 0.000 0.000
Nd 0.000 0.000 5.424
P 2.034 2.034 3.156
P 2.034 2.034 7.692
Rh 0.000 2.034 2.174
Rh 2.034 0.000 2.174
Rh 0.000 2.034 8.674
Rh 2.034 0.000 8.674
Rh 2.034 2.034 5.424
```

Values from the calculation:
Electronic total energy ... -7.09 eV per atom
ΔE_f ... -0.743 eV/atom


# 17
Density functional theory data (PBE) for Cu2ReAs after structural relaxation.

```
4
Lattice="4.011 0.000 0.000 0.000 3.694 0.000 0.000 0.000 3.694" Properties=species:S:1:pos:R:3 pbc="T T T"
As 2.006 0.000 1.847
Cu 0.000 0.000 0.000
Cu 0.000 1.847 1.847
Re 2.006 1.847 0.000
```

Values from the calculation:
Electronic total energy ... -5.91 eV per atom
ΔE_f ... 0.409 eV/atom


# 18
Density functional theory data (PBE) for Zr2TiIn3 after structural relaxation.

```
6
Lattice="-1.581 1.370 -2.302 -2.586 -0.083 1.727 2.966 11.845 5.011" Properties=species:S:1:pos:R:3 pbc="T T T"
Zr 0.371 10.446 3.860
Zr -1.572 2.685 0.576
Ti -0.600 6.566 2.218
In 0.000 0.000 0.000
In 1.945 7.768 3.286
In 1.021 4.077 1.725
```

Values from the calculation:
Electronic total energy ... -5.79 eV per atom
E above lowest polymorph ... 0.049 eV per formula unit
ΔE_f ... -0.254 eV/atom


# 19
Density functional theory data (PBE) for Mg3Ag2Au after structural relaxation.

```
6
Lattice="-2.206 -1.562 2.043 2.490 -1.969 1.184 1.813 6.423 6.872" Properties=species:S:1:pos:R:3 pbc="T T T"
Mg 0.000 0.000 0.000
Mg 1.200 4.250 4.547
Mg 0.613 2.173 2.325
Ag 1.652 3.582 7.333
Ag 0.446 -0.690 2.764
Au 1.049 1.446 5.049
```

Values from the calculation:
Electronic total energy ... -2.66 eV per atom
E above lowest polymorph ... 0.067 eV per formula unit
ΔE_f ... -0.369 eV/atom


# 20
Density functional theory data (PBE) for Li2Mg2GaAg2 after structural relaxation.

```
7
Lattice="-1.599 -2.031 -3.828 2.652 -0.227 -3.774 2.782 -6.544 -0.477" Properties=species:S:1:pos:R:3 pbc="T T T"
Li 1.433 -3.248 -4.449
Li 2.401 -5.554 -3.630
Mg 3.088 -7.106 -5.880
Mg 0.747 -1.696 -2.199
Ga 0.000 0.000 0.000
Ag 1.788 -4.176 -1.318
Ag 2.047 -4.626 -6.761
```

Values from the calculation:
Electronic total energy ... -2.47 eV per atom
ΔE_f ... -0.219 eV/atom


# 21
Density functional theory data (PBE) for RbAc2In after structural relaxation.

```
4
Lattice="-1.962 3.602 -0.539 -3.641 -1.954 0.195 -0.231 1.549 11.190" Properties=species:S:1:pos:R:3 pbc="T T T"
Ac -0.192 1.288 9.302
Ac -0.039 0.261 1.888
Rb -2.917 1.598 5.423
In -2.802 0.824 -0.172
```

Values from the calculation:
Electronic total energy ... -2.99 eV per atom
E above lowest polymorph ... 0.000 eV per formula unit
ΔE_f ... -0.012 eV/atom


# 22
Density functional theory data (PBE) for ZrTc2Ir after structural relaxation.

```
4
Lattice="-1.067 -0.934 -4.826 2.123 -4.236 -1.689 -2.779 1.148 4.032" Properties=species:S:1:pos:R:3 pbc="T T T"
Ir -0.064 -2.836 -0.457
Tc 1.056 -5.169 -6.514
Tc 0.528 -2.585 -3.257
Zr -1.659 -1.185 -2.025
```

Values from the calculation:
Electronic total energy ... -9.66 eV per atom
E above lowest polymorph ... 0.219 eV per formula unit
ΔE_f ... -0.127 eV/atom


# 23
Density functional theory data (PBE) for ZnCo2Au after structural relaxation.

```
4
Lattice="-1.366 5.629 1.059 -3.278 -3.271 0.303 -0.477 0.720 2.585" Properties=species:S:1:pos:R:3 pbc="T T T"
Au -2.322 1.179 0.681
Co 0.000 0.000 0.000
Co -0.922 3.174 1.822
Zn -1.878 -1.276 1.444
```

Values from the calculation:
Electronic total energy ... -4.53 eV per atom
ΔE_f ... 0.166 eV/atom


# 24
Density functional theory data (PBE) for ZrAlCu after structural relaxation.

```
6
Lattice="-0.641 -4.090 0.416 2.479 -2.058 4.411 -4.028 2.937 1.884" Properties=species:S:1:pos:R:3 pbc="T T T"
Zr -0.688 -2.516 2.698
Zr -2.033 -2.016 5.591
Al -3.004 2.078 2.704
Al 0.924 -2.520 5.169
Cu -2.120 -0.113 3.321
Cu 0.041 -0.328 4.554
```

Values from the calculation:
Electronic total energy ... -5.83 eV per atom
ΔE_f ... -0.368 eV/atom


# 25
Density functional theory data (PBE) for ErMg2Rh3 after structural relaxation.

```
6
Lattice="4.543 0.000 0.000 -2.271 3.934 0.000 0.000 0.000 5.574" Properties=species:S:1:pos:R:3 pbc="T T T"
Er 0.000 0.000 0.000
Mg 2.271 1.311 1.906
Mg 0.000 2.623 3.668
Rh 0.000 0.000 2.787
Rh 2.271 1.311 4.598
Rh 0.000 2.623 0.976
```

Values from the calculation:
Electronic total energy ... -5.65 eV per atom
ΔE_f ... -0.682 eV/atom